Entry from Alexandria: crystalline LuAg2 at its relaxed geometry (PBEsol).

Geometry as extended XYZ:
```
3
Lattice="3.598 0.000 0.000 0.000 3.598 0.000 -1.799 -1.799 4.481" Properties=species:S:1:pos:R:3 pbc="T T T"
Ag 1.799 1.799 1.514
Ag 0.000 0.000 2.967
Lu 0.000 0.000 0.000
```

## Properties
- Space group: I4/mmm (139)
- Magnetic moment: 0.00 μB/atom
- Volume: 57.99 Å³ per cell
- Total energy: -12.60 eV/f.u.
- E_form: -0.3687 eV/atom